No. 1
The following is a DFT calculation (PBE-GGA) of a relaxed structure of K2AsAu.

Cell and atoms, written as CIF:
```
data_K2AsAu
_chemical_formula_sum 'K2 As1 Au1'
_cell_length_a 6.219
_cell_length_b 6.219
_cell_length_c 2.960
_cell_angle_alpha 90.00
_cell_angle_beta 90.00
_cell_angle_gamma 90.00
_symmetry_space_group_name_H-M 'P 1'
_symmetry_Int_Tables_number 1
loop_
_symmetry_equiv_pos_as_xyz
'x,y,z'
loop_
_atom_site_label
_atom_site_type_symbol
_atom_site_fract_x
_atom_site_fract_y
_atom_site_fract_z
As1 As 0.500 0.000 0.500
K1 K 0.500 0.500 0.000
Au1 Au 0.000 0.500 0.500
K2 K 0.000 0.000 0.000
```

Properties
SG ... No. 123
Volume ... 114 Å³ per cell
Energy relative to the elements ... -0.15 eV/atom

=====

No. 2
The following is a DFT calculation (PBE-GGA) of a relaxed structure of SrBr.

Cell and atoms, written as CIF:
```
data_SrBr
_chemical_formula_sum 'Sr2 Br2'
_cell_length_a 10.967
_cell_length_b 10.967
_cell_length_c 10.967
_cell_angle_alpha 158.84
_cell_angle_beta 158.78
_cell_angle_gamma 30.15
_symmetry_space_group_name_H-M 'P 1'
_symmetry_Int_Tables_number 1
loop_
_symmetry_equiv_pos_as_xyz
'x,y,z'
loop_
_atom_site_label
_atom_site_type_symbol
_atom_site_fract_x
_atom_site_fract_y
_atom_site_fract_z
Sr1 Sr 0.914 0.664 0.750
Sr2 Sr 0.086 0.336 0.250
Br1 Br 0.655 0.905 0.250
Br2 Br 0.345 0.095 0.750
```

Properties
Uncorrected formation energy ... -275 kJ/mol of formula units
SG ... No. 74
Volume ... 172 Å³ per cell

=====

No. 3
The following is a DFT calculation (PBE-GGA) of a relaxed structure of TbInPt.

Cell and atoms, written as CIF:
```
data_TbInPt
_chemical_formula_sum 'Tb3 In3 Pt3'
_cell_length_a 7.717
_cell_length_b 7.717
_cell_length_c 3.857
_cell_angle_alpha 90.00
_cell_angle_beta 90.00
_cell_angle_gamma 120.00
_symmetry_space_group_name_H-M 'P 1'
_symmetry_Int_Tables_number 1
loop_
_symmetry_equiv_pos_as_xyz
'x,y,z'
loop_
_atom_site_label
_atom_site_type_symbol
_atom_site_fract_x
_atom_site_fract_y
_atom_site_fract_z
In1 In 0.000 0.739 0.500
Tb1 Tb 0.406 0.000 0.000
In2 In 0.261 0.261 0.500
Pt1 Pt 0.000 0.000 0.000
In3 In 0.739 0.000 0.500
Tb2 Tb 0.000 0.406 0.000
Tb3 Tb 0.594 0.594 0.000
Pt2 Pt 0.333 0.667 0.500
Pt3 Pt 0.667 0.333 0.500
```

Properties
SG ... No. 189
Volume ... 199 Å³ per cell
Energy relative to the elements ... -1.00 eV/atom

=====

No. 4
The following is a DFT calculation (PBE-GGA) of a relaxed structure of Mg4Rh.

Cell and atoms, written as CIF:
```
data_Mg4Rh
_chemical_formula_sum 'Mg8 Rh2'
_cell_length_a 4.634
_cell_length_b 5.576
_cell_length_c 7.966
_cell_angle_alpha 90.00
_cell_angle_beta 90.00
_cell_angle_gamma 90.00
_symmetry_space_group_name_H-M 'P 1'
_symmetry_Int_Tables_number 1
loop_
_symmetry_equiv_pos_as_xyz
'x,y,z'
loop_
_atom_site_label
_atom_site_type_symbol
_atom_site_fract_x
_atom_site_fract_y
_atom_site_fract_z
Mg1 Mg 0.000 0.090 0.674
Rh1 Rh 0.000 0.500 0.500
Mg2 Mg 0.000 0.410 0.174
Mg3 Mg 0.000 0.910 0.326
Mg4 Mg 0.000 0.590 0.826
Mg5 Mg 0.500 0.769 0.076
Mg6 Mg 0.500 0.731 0.576
Mg7 Mg 0.500 0.231 0.924
Rh2 Rh 0.000 0.000 0.000
Mg8 Mg 0.500 0.269 0.424
```

Properties
SG ... No. 55
Volume ... 206 Å³ per cell
Energy relative to the elements ... -0.21 eV/atom

=====

> Among the records above, which one has the lowest volume?

K2AsAu